A relaxed LaPd6Au4 crystal, computed with GGA-PBE.

Values from the calculation:
ΔE_f (eV/atom): -0.12
Symmetry: No. 121

abc: 6.9673 6.9673 6.9673
angles: 123.83 123.83 83.49
Fractional coordinates of all 11 atoms:
La: 0.0000 0.0000 0.0000
Pd: 0.0000 0.5000 0.5000
Pd: 0.2502 0.5668 0.0000
Pd: 0.4332 0.4332 0.6834
Pd: 0.5000 0.0000 0.5000
Pd: 0.5668 0.2502 0.0000
Pd: 0.7498 0.7498 0.3166
Au: 0.0922 0.0922 0.5359
Au: 0.4437 0.9078 0.0000
Au: 0.5563 0.5563 0.4641
Au: 0.9078 0.4437 0.0000

=====

A relaxed TlTeAu2 crystal, computed with GGA-PBE.

Values from the calculation:
Distance to the lowest polymorph of the same formula (eV/atom): 0.081
Symmetry: No. 12
Formation energy without anion corrections (meV/atom): 66

abc: 5.7625 5.7625 3.1158
angles: 91.37 91.37 89.02
Fractional coordinates of all 4 atoms:
Tl: 0.0000 0.0000 0.0000
Te: 0.5000 0.5000 0.0000
Au: 0.0000 0.5000 0.0000
Au: 0.5000 0.0000 0.0000

=====

A relaxed Pr8P3SeS4 crystal, computed with GGA-PBE.

Values from the calculation:
Symmetry: No. 166
Formation energy without anion corrections (meV/atom): -1863

abc: 8.3249 8.3249 8.3249
angles: 60.16 60.16 60.16
Fractional coordinates of all 16 atoms:
Pr: 0.2390 0.7545 0.7545
Pr: 0.2455 0.2455 0.7610
Pr: 0.2455 0.7610 0.2455
Pr: 0.2475 0.2475 0.2475
Pr: 0.7525 0.7525 0.7525
Pr: 0.7545 0.2390 0.7545
Pr: 0.7545 0.7545 0.2390
Pr: 0.7610 0.2455 0.2455
P: 0.0000 0.0000 0.5000
P: 0.0000 0.5000 0.0000
P: 0.5000 0.0000 0.0000
Se: 0.5000 0.5000 0.5000
S: 0.0000 0.0000 0.0000
S: 0.0000 0.5000 0.5000
S: 0.5000 0.0000 0.5000
S: 0.5000 0.5000 0.0000